1.
# PBE Ac4AlSeI2, relaxed
data_Ac4AlSeI2
_chemical_formula_sum 'Ac4 Al1 Se1 I2'
_symmetry_space_group_name_H-M 'P 1'
_symmetry_Int_Tables_number 1
_cell_length_a 4.690
_cell_length_b 7.855
_cell_length_c 8.603
_cell_angle_alpha 109.04
_cell_angle_beta 90.00
_cell_angle_gamma 90.00
loop_
_symmetry_equiv_pos_as_xyz
'x,y,z'
loop_
_atom_site_label
_atom_site_type_symbol
_atom_site_fract_x
_atom_site_fract_y
_atom_site_fract_z
_atom_site_occupancy
Ac1 Ac 0.500 0.236 0.207 1
Ac2 Ac 0.500 0.764 0.793 1
Ac3 Ac 0.000 0.264 0.796 1
Ac4 Ac 0.000 0.736 0.204 1
Al1 Al 0.000 0.000 0.000 1
Se1 Se 0.500 0.500 0.000 1
I1 I 0.500 0.000 0.500 1
I2 I 0.000 0.500 0.500 1
# M_tot in μB/f.u.: 0.00
# E_form (uncorrected) in meV/atom: -1005
# Fermi-level density of states in states/eV per cell: 4.76
# Calculated total energy in eV/atom: -4.35


2.
# PBE ZrPaV4, relaxed
data_ZrPaV4
_chemical_formula_sum 'Zr1 Pa1 V4'
_symmetry_space_group_name_H-M 'P 1'
_symmetry_Int_Tables_number 1
_cell_length_a 5.234
_cell_length_b 5.234
_cell_length_c 5.234
_cell_angle_alpha 60.00
_cell_angle_beta 60.00
_cell_angle_gamma 60.00
loop_
_symmetry_equiv_pos_as_xyz
'x,y,z'
loop_
_atom_site_label
_atom_site_type_symbol
_atom_site_fract_x
_atom_site_fract_y
_atom_site_fract_z
_atom_site_occupancy
Pa1 Pa 0.250 0.250 0.250 1
Zr1 Zr 0.000 0.000 0.000 1
V1 V 0.624 0.624 0.128 1
V2 V 0.624 0.128 0.624 1
V3 V 0.624 0.624 0.624 1
V4 V 0.128 0.624 0.624 1
# M_tot in μB/f.u.: 0.00
# Fermi-level density of states in states/eV per cell: 9.61
# Calculated total energy in eV/atom: -9.05
# ΔE_f in eV per atom: 0.034


3.
# PBE Tl2BiPd4, relaxed
data_Tl2BiPd4
_chemical_formula_sum 'Tl4 Bi2 Pd8'
_symmetry_space_group_name_H-M 'P 1'
_symmetry_Int_Tables_number 1
_cell_length_a 7.074
_cell_length_b 5.892
_cell_length_c 8.076
_cell_angle_alpha 110.53
_cell_angle_beta 115.25
_cell_angle_gamma 91.61
loop_
_symmetry_equiv_pos_as_xyz
'x,y,z'
loop_
_atom_site_label
_atom_site_type_symbol
_atom_site_fract_x
_atom_site_fract_y
_atom_site_fract_z
_atom_site_occupancy
Tl1 Tl 0.526 0.248 0.691 1
Tl2 Tl 0.525 0.719 0.072 1
Tl3 Tl 0.703 0.395 0.425 1
Tl4 Tl 0.083 0.308 0.809 1
Bi1 Bi 0.099 0.814 0.439 1
Bi2 Bi 0.909 0.127 0.063 1
Pd1 Pd 0.128 0.365 0.493 1
Pd2 Pd 0.308 0.516 0.246 1
Pd3 Pd 0.065 0.794 0.794 1
Pd4 Pd 0.718 0.910 0.500 1
Pd5 Pd 0.312 0.021 0.254 1
Pd6 Pd 0.466 0.160 0.998 1
Pd7 Pd 0.524 0.750 0.707 1
Pd8 Pd 0.884 0.624 0.009 1
# M_tot in μB/f.u.: 0.00
# Fermi-level density of states in states/eV per cell: 6.36
# Calculated total energy in eV/atom: -4.36
# Excess energy over the best structure of this formula in the dataset in kcal/mol of atoms: 0.59
# ΔE_f in eV per atom: -0.162


4.
# PBE CaLa2MgCd, relaxed
data_CaLa2MgCd
_chemical_formula_sum 'Ca1 La2 Mg1 Cd1'
_symmetry_space_group_name_H-M 'P 1'
_symmetry_Int_Tables_number 1
_cell_length_a 5.862
_cell_length_b 5.555
_cell_length_c 5.862
_cell_angle_alpha 90.00
_cell_angle_beta 90.00
_cell_angle_gamma 90.00
loop_
_symmetry_equiv_pos_as_xyz
'x,y,z'
loop_
_atom_site_label
_atom_site_type_symbol
_atom_site_fract_x
_atom_site_fract_y
_atom_site_fract_z
_atom_site_occupancy
Ca1 Ca 0.000 0.000 0.000 1
Cd1 Cd 0.500 0.500 0.500 1
Mg1 Mg 0.000 0.500 0.000 1
La1 La 0.000 0.000 0.500 1
La2 La 0.500 0.000 0.000 1
# M_tot in μB/f.u.: 0.00
# Fermi-level density of states in states/eV per cell: 5.55
# Calculated total energy in eV/atom: -2.10
# ΔE_f in eV per atom: 0.772